First-principles (GGA-PBE) data for a relaxed structure of Gd4PbC2O, as listed in OQMD.

Results
* volume: 159 Å³ per cell
* total DFT energy (no corrections): -6.710 eV/atom

a b c (Å): 3.594 3.594 14.216
angles (deg): 90.00 90.00 120.00
Fractional coordinates of all 8 atoms:
Pb (0.667, 0.333, 0.000)
C (0.333, 0.667, 0.289)
Gd (0.000, 0.000, 0.195)
C (0.333, 0.667, 0.711)
O (0.000, 0.000, 0.500)
Gd (0.667, 0.333, 0.610)
Gd (0.667, 0.333, 0.390)
Gd (0.000, 0.000, 0.805)